(1)
# LaPuPaGa GGA-PBE optimized geometry
data_LaPuPaGa
_cell_length_a 7.3466
_cell_length_b 7.3466
_cell_length_c 7.3466
_cell_angle_alpha 90.00
_cell_angle_beta 90.00
_cell_angle_gamma 90.00
_symmetry_space_group_name_H-M 'F -4 3 m'
_symmetry_Int_Tables_number 216
_symmetry_space_group_name_Hall 'F -4 2 3'
loop_
_atom_site_label
_atom_site_type_symbol
_atom_site_fract_x
_atom_site_fract_y
_atom_site_fract_z
_atom_site_occupancy
La1 La 0.0000 0.0000 0.0000 1
Pu1 Pu 0.0000 0.0000 0.5000 1
Pa1 Pa 0.2500 0.2500 0.7500 1
Ga1 Ga 0.2500 0.2500 0.2500 1
# - ΔH_f (0 K): 0.0958 eV per atom

(2)
# K4Na2AgHg2 GGA-PBE optimized geometry
data_K4Na2AgHg2
_cell_length_a 6.5487
_cell_length_b 8.0666
_cell_length_c 8.1815
_cell_angle_alpha 115.87
_cell_angle_beta 98.96
_cell_angle_gamma 98.46
_symmetry_space_group_name_H-M 'P -1'
_symmetry_Int_Tables_number 2
_symmetry_space_group_name_Hall '-P 1'
loop_
_atom_site_label
_atom_site_type_symbol
_atom_site_fract_x
_atom_site_fract_y
_atom_site_fract_z
_atom_site_occupancy
K1 K 0.0832 0.2687 0.0588 1
K2 K 0.2507 0.8632 0.5307 1
Na1 Na 0.3304 0.4767 0.6587 1
Ag1 Ag 0.5000 0.0000 0.0000 1
Hg1 Hg 0.4383 0.6954 0.1022 1
# - ΔH_f (0 K): -0.0908 eV per atom

(3)
# GeSb3P GGA-PBE optimized geometry
data_GeSb3P
_cell_length_a 5.2862
_cell_length_b 5.2862
_cell_length_c 5.2862
_cell_angle_alpha 90.00
_cell_angle_beta 90.00
_cell_angle_gamma 90.00
_symmetry_space_group_name_H-M 'P m -3 m'
_symmetry_Int_Tables_number 221
_symmetry_space_group_name_Hall '-P 4 2 3'
loop_
_atom_site_label
_atom_site_type_symbol
_atom_site_fract_x
_atom_site_fract_y
_atom_site_fract_z
_atom_site_occupancy
Ge1 Ge 0.0000 0.0000 0.0000 1
Sb1 Sb 0.0000 0.0000 0.5000 1
P1 P 0.5000 0.5000 0.5000 1
# - Uncorrected formation energy: 5.1 eV per formula unit
# - Polymorph energy (0 for the lowest one): 1.76 eV/f.u.

(4)
# La2TbY6Tm3 GGA-PBE optimized geometry
data_La2TbY6Tm3
_cell_length_a 6.2085
_cell_length_b 10.7493
_cell_length_c 11.8442
_cell_angle_alpha 90.00
_cell_angle_beta 100.03
_cell_angle_gamma 90.00
_symmetry_space_group_name_H-M 'C 1 2/m 1'
_symmetry_Int_Tables_number 12
_symmetry_space_group_name_Hall '-C 2y'
loop_
_atom_site_label
_atom_site_type_symbol
_atom_site_fract_x
_atom_site_fract_y
_atom_site_fract_z
_atom_site_occupancy
La1 La 0.0000 0.1666 0.0000 1
Tb1 Tb 0.0000 0.5000 0.0000 1
Y1 Y 0.2469 0.5000 0.7444 1
Y2 Y 0.2487 0.1662 0.7444 1
Tm1 Tm 0.0000 0.0000 0.5000 1
Tm2 Tm 0.0000 0.3336 0.5000 1
# - ΔH_f (0 K): 0.0271 eV per atom

(5)
# Ce4BiAs2 GGA-PBE optimized geometry
data_Ce4BiAs2
_cell_length_a 4.2961
_cell_length_b 14.1406
_cell_length_c 13.9553
_cell_angle_alpha 90.00
_cell_angle_beta 90.00
_cell_angle_gamma 90.00
_symmetry_space_group_name_H-M 'C m c m'
_symmetry_Int_Tables_number 63
_symmetry_space_group_name_Hall '-C 2c 2'
loop_
_atom_site_label
_atom_site_type_symbol
_atom_site_fract_x
_atom_site_fract_y
_atom_site_fract_z
_atom_site_occupancy
Ce1 Ce 0.0000 0.0000 0.0000 1
Ce2 Ce 0.0000 0.2643 0.1239 1
Ce3 Ce 0.0000 0.4357 0.7500 1
Bi1 Bi 0.0000 0.1022 0.7500 1
As1 As 0.0000 0.3639 0.5561 1
# - ΔH_f (0 K): -0.9633 eV per atom

(6)
# Ac3DyZn4 GGA-PBE optimized geometry
data_Ac3DyZn4
_cell_length_a 3.8231
_cell_length_b 3.8231
_cell_length_c 15.2935
_cell_angle_alpha 90.00
_cell_angle_beta 90.00
_cell_angle_gamma 90.00
_symmetry_space_group_name_H-M 'P 4/m m m'
_symmetry_Int_Tables_number 123
_symmetry_space_group_name_Hall '-P 4 2'
loop_
_atom_site_label
_atom_site_type_symbol
_atom_site_fract_x
_atom_site_fract_y
_atom_site_fract_z
_atom_site_occupancy
Ac1 Ac 0.0000 0.0000 0.0000 1
Ac2 Ac 0.0000 0.0000 0.2617 1
Dy1 Dy 0.0000 0.0000 0.5000 1
Zn1 Zn 0.5000 0.5000 0.1292 1
Zn2 Zn 0.5000 0.5000 0.3999 1
# - ΔH_f (0 K): -0.2501 eV per atom